Entry 1:
DFT (PBE) results for a relaxed structure of TcNiBiPd.

abc: 4.5252 4.5252 4.5252
angles: 60.00 60.00 60.00
Positions (direct):
Bi 0.0000 0.0000 0.0000
Ni 0.7500 0.7500 0.7500
Pd 0.5000 0.5000 0.5000
Tc 0.2500 0.2500 0.2500

Calculated values
Distance to the lowest polymorph of the same formula   0.0000 eV per atom
Crystal system   cubic

Entry 2:
DFT (PBE) results for a relaxed structure of LuTlCoTe3.

abc: 9.0649 9.0649 9.4902
angles: 103.28 103.28 27.67
Last column: magnetic moment on the atom in μB.
Positions (direct):
Co 0.5006 0.5006 0.1803  1.43
Co 0.4994 0.4994 0.8197  1.43
Lu 0.1724 0.1724 0.0841  0.00
Lu 0.8276 0.8276 0.9159  0.00
Te 0.0000 0.0000 0.0000  0.01
Te 0.3466 0.3466 0.1462  0.01
Te 0.6510 0.6510 0.2881  -0.01
Te 0.5000 0.5000 0.5000  -0.01
Te 0.3490 0.3490 0.7119  -0.01
Te 0.6534 0.6534 0.8538  0.01
Tl 0.8570 0.8570 0.4382  0.01
Tl 0.1430 0.1430 0.5618  0.01

Calculated values
Distance to the lowest polymorph of the same formula   0.1771 eV per atom
Crystal system   monoclinic

Entry 3:
DFT (PBE) results for a relaxed structure of Cs2SrCdBi2.

abc: 5.3547 5.3547 9.2801
angles: 90.00 90.00 90.00
Positions (direct):
Bi 0.0000 0.5000 0.2041
Bi 0.5000 0.0000 0.7959
Cd 0.0000 0.0000 0.0000
Cs 0.5000 0.0000 0.3529
Cs 0.0000 0.5000 0.6471
Sr 0.5000 0.5000 0.0000

Calculated values
Crystal system   tetragonal
Raw total energy   -15.748 eV per cell

Entry 4:
DFT (PBE) results for a relaxed structure of DyCdOs.

abc: 4.6085 4.6085 4.6085
angles: 60.00 60.00 60.00
Positions (direct):
Cd 0.0000 0.0000 0.0000
Dy 0.2500 0.2500 0.2500
Os 0.7500 0.7500 0.7500

Calculated values
Crystal system   cubic
Raw total energy   -14.872 eV per cell

Entry 5:
DFT (PBE) results for a relaxed structure of PuAgTe.

abc: 5.0415 5.0415 5.0415
angles: 60.00 60.00 60.00
Last column: magnetic moment on the atom in μB.
Positions (direct):
Ag 0.2500 0.2500 0.2500  -0.01
Pu 0.0000 0.0000 0.0000  5.31
Te 0.7500 0.7500 0.7500  -0.08

Calculated values
Distance to the lowest polymorph of the same formula   0.0000 eV per atom
Crystal system   cubic

Entry 6:
DFT (PBE) results for a relaxed structure of PrNdAs2Ir2O2.

abc: 4.0953 4.0953 8.4593
angles: 90.00 90.00 90.00
Positions (direct):
As 0.0000 0.0000 0.3340
As 0.5000 0.5000 0.6668
Ir 0.5000 0.0000 0.5004
Ir 0.0000 0.5000 0.5004
Nd 0.0000 0.0000 0.8618
O 0.5000 0.0000 0.9984
O 0.0000 0.5000 0.9984
Pr 0.5000 0.5000 0.1399

Calculated values
Crystal system   tetragonal
Raw total energy   -60.759 eV per cell

Entry 7:
DFT (PBE) results for a relaxed structure of ZrBeCo2Si.

abc: 5.2423 5.2423 5.2423
angles: 138.36 138.36 60.35
Positions (direct):
Be 0.6262 0.6262 0.0000
Co 0.7447 0.2447 0.5000
Co 0.2447 0.7447 0.5000
Si 0.3788 0.3788 0.0000
Zr 0.0056 0.0056 0.0000

Calculated values
Crystal system   tetragonal
Raw total energy   -34.749 eV per cell

Entry 8:
DFT (PBE) results for a relaxed structure of ZrGaPO.

abc: 3.5739 5.5300 6.6935
angles: 90.00 90.00 90.00
Positions (direct):
Ga 0.0000 0.6092 0.3347
Ga 0.0000 0.3908 0.8347
O 0.5000 0.7300 0.4440
O 0.5000 0.2700 0.9440
P 0.0000 0.1822 0.3462
P 0.0000 0.8178 0.8462
Zr 0.5000 0.9420 0.1291
Zr 0.5000 0.0580 0.6291

Calculated values
Distance to the lowest polymorph of the same formula   0.1069 eV per atom
Crystal system   orthorhombic

no.,V (A^3/atom)
1,16.380
2,29.318
3,44.348
4,23.070
5,30.203
6,17.735
7,12.585
8,16.536